Record 1
Density functional theory data (PBE) for Ac2CeSnPt6 after structural relaxation.

Cell: 7.233 7.233 7.233 Å, 60.00 60.00 90.00°
Fractional positions:
Ac  0.250  0.750  0.500
Ac  0.750  0.250  0.500
Ce  0.500  0.500  0.000
Sn  0.000  0.000  0.000
Pt  0.249  0.751  0.000
Pt  0.751  0.751  0.000
Pt  0.249  0.249  0.502
Pt  0.751  0.249  0.000
Pt  0.249  0.249  0.000
Pt  0.751  0.751  0.498

Computed properties:
E_form = -0.36 eV/atom
Total DFT energy (no corrections) = -58.05 eV for the cell shown
Crystal system = cubic

***

Record 2
Density functional theory data (PBE) for Ac3CeTh2Pt6 after structural relaxation.

Cell: 7.411 7.411 7.456 Å, 99.54 99.54 119.99°
Fractional positions:
Ac  0.167  0.833  0.500
Ac  0.833  0.167  0.500
Ac  0.500  0.500  0.500
Ce  0.000  0.000  0.000
Th  0.334  0.666  0.000
Th  0.666  0.334  0.000
Pt  0.924  0.590  0.771
Pt  0.742  0.742  0.229
Pt  0.076  0.410  0.229
Pt  0.590  0.924  0.771
Pt  0.258  0.258  0.771
Pt  0.410  0.076  0.229

Computed properties:
E_form = -1.18 eV/atom
Total DFT energy (no corrections) = -83.47 eV for the cell shown
Crystal system = monoclinic